The following is a DFT calculation (PBE) of crystalline LiCa3P at its relaxed geometry.

Output
Total magnetization, μB per cell: 0.00
VASP energy, eV/atom: -2.615
Density of states at the Fermi level, states/eV/cell: 4.2
Polymorph energy (0 for the lowest one), meV per atom: 577

The structure in POSCAR format:
```
LiCa3P
1.0
4.9811 0.0000 3.4930
-2.4905 4.3137 3.4930
-2.4905 -4.3137 3.4930
P Ca Li
1 3 1
Direct
0.8754 0.8754 0.8754
0.6151 0.1277 0.6151
0.1277 0.6151 0.6151
0.6151 0.6151 0.1277
0.6417 0.6417 0.6417
```

---

The following is a DFT calculation (PBE) of crystalline LiCa3P at its relaxed geometry.

Output
Total magnetization, μB per cell: 0.00
VASP energy, eV/atom: -3.172
Density of states at the Fermi level, states/eV/cell: 1.2
Polymorph energy (0 for the lowest one), meV per atom: 21

The structure in POSCAR format:
```
LiCa3P
1.0
-7.0806 3.5114 0.5943
-6.9988 -3.7153 -0.1760
-4.9792 -0.7092 6.1255
P Ca Li
2 6 2
Direct
0.3145 0.3145 0.3145
0.6855 0.6855 0.6855
0.3756 0.1189 0.7253
0.1189 0.7253 0.3756
0.2747 0.6244 0.8811
0.8811 0.2747 0.6244
0.6244 0.8811 0.2747
0.7253 0.3756 0.1189
0.1884 0.1884 0.1884
0.8116 0.8116 0.8116
```

---

The following is a DFT calculation (PBE) of crystalline LiCaP2 at its relaxed geometry.

Output
Total magnetization, μB per cell: 0.00
VASP energy, eV/atom: -4.230
Density of states at the Fermi level, states/eV/cell: 1.6
Polymorph energy (0 for the lowest one), meV per atom: 174

The structure in POSCAR format:
```
LiCaP2
1.0
-3.4327 -2.7810 -4.0631
0.7955 -5.5378 -2.1741
-0.6477 3.4943 4.8370
Ca Li P
1 1 2
Direct
0.4714 0.4714 0.0000
0.7289 0.2289 0.5000
0.0704 0.0704 0.0000
0.2293 0.7293 0.5000
```

---

The following is a DFT calculation (PBE) of crystalline LiCaP2 at its relaxed geometry.

Output
Total magnetization, μB per cell: 0.00
VASP energy, eV/atom: -3.835
Density of states at the Fermi level, states/eV/cell: 2.0
Polymorph energy (0 for the lowest one), meV per atom: 569

The structure in POSCAR format:
```
LiCaP2
1.0
-1.7349 1.8581 3.9493
-3.1051 -2.4159 2.5654
1.2588 -1.7541 4.1711
Ca Li P
1 1 2
Direct
0.5000 0.5000 0.5000
0.7500 0.7500 0.7500
0.0000 0.0000 0.0000
0.2500 0.2500 0.2500
```